1.
## MoW2 (PBE-GGA)

Data for crystalline MoW2 at its relaxed geometry.

The value obtained for the total magnetization is 0.0 μB/f.u. The calculation puts the formation energy from the elements at 0.1518 eV per atom. For the excess energy over the best structure of this formula in the dataset, the calculation gives 168 meV per atom. The density comes out at 15.8 Mg/m³.

It has space group Pnma (No. 62), with a = 5.4118 Å, b = 4.4845 Å, c = 8.0168 Å, α = 90.00°, β = 90.00° and γ = 90.00°. Symmetry generates all atoms from Mo at (0.1692, 0.2500, 0.0788), W at (0.0108, 0.2500, 0.7504) and W at (0.1687, 0.2500, 0.4209).



2.
## MoW2 (PBE-GGA)

Data for crystalline MoW2 at its relaxed geometry.

The value obtained for the total magnetization is 0.0 μB/f.u. The calculation puts the formation energy from the elements at 1.5562 eV per atom. For the excess energy over the best structure of this formula in the dataset, the calculation gives 1572 meV per atom. The density comes out at 13.5 Mg/m³.

It has space group Pa-3 (No. 205), with a = 6.1134 Å, b = 6.1134 Å, c = 6.1134 Å, α = 90.00°, β = 90.00° and γ = 90.00°. Symmetry generates all atoms from Mo at (0.0000, 0.0000, 0.0000) and W at (0.1273, 0.6273, 0.8727).



3.
## MoW2 (PBE-GGA)

Data for crystalline MoW2 at its relaxed geometry.

The value obtained for the total magnetization is 0.0 μB/f.u. The calculation puts the formation energy from the elements at 0.4280 eV per atom. For the excess energy over the best structure of this formula in the dataset, the calculation gives 444 meV per atom. The density comes out at 15.1 Mg/m³.

It has space group P6_3/mmc (No. 194), with a = 5.2483 Å, b = 5.2483 Å, c = 8.5637 Å, α = 90.00°, β = 90.00° and γ = 120.00°. Symmetry generates all atoms from Mo at (0.3333, 0.6667, 0.0415), W at (0.0000, 0.0000, 0.0000) and W at (0.1695, 0.3390, 0.7500).



4.
## MoW (PBE-GGA)

Data for crystalline MoW at its relaxed geometry.

The value obtained for the total magnetization is 0.0 μB/f.u. The calculation puts the formation energy from the elements at 1.1073 eV per atom. For the excess energy over the best structure of this formula in the dataset, the calculation gives 1127 meV per atom. The density comes out at 12.5 Mg/m³.

It has space group P6_3/mmc (No. 194), with a = 4.0063 Å, b = 4.0063 Å, c = 5.3375 Å, α = 90.00°, β = 90.00° and γ = 120.00°. Symmetry generates all atoms from Mo at (0.0000, 0.0000, 0.0000) and W at (0.3333, 0.6667, 0.2500).



5.
## Mo2W (PBE-GGA)

Data for crystalline Mo2W at its relaxed geometry.

The value obtained for the total magnetization is 0.0 μB/f.u. The calculation puts the formation energy from the elements at 0.1473 eV per atom. For the excess energy over the best structure of this formula in the dataset, the calculation gives 167 meV per atom. The density comes out at 12.9 Mg/m³.

It has space group Pnma (No. 62), with a = 5.3890 Å, b = 4.4909 Å, c = 7.9925 Å, α = 90.00°, β = 90.00° and γ = 90.00°. Symmetry generates all atoms from Mo at (0.0095, 0.2500, 0.2502), Mo at (0.1690, 0.2500, 0.5787) and W at (0.1683, 0.2500, 0.9214).



6.
## MoW2 (PBE-GGA)

Data for crystalline MoW2 at its relaxed geometry.

The value obtained for the total magnetization is 0.0 μB/f.u. The calculation puts the formation energy from the elements at -0.0101 eV per atom. For the excess energy over the best structure of this formula in the dataset, the calculation gives 6 meV per atom. The density comes out at 16.0 Mg/m³.

It has space group I4/mmm (No. 139), with a = 3.1801 Å, b = 3.1801 Å, c = 9.5264 Å, α = 90.00°, β = 90.00° and γ = 90.00°. Symmetry generates all atoms from Mo at (0.0000, 0.0000, 0.0000) and W at (0.0000, 0.0000, 0.3333).



7.
## Mo3W13 (PBE-GGA)

Data for crystalline Mo3W13 at its relaxed geometry.

The value obtained for the total magnetization is 0.0 μB/f.u. The calculation puts the formation energy from the elements at -0.0094 eV per atom. The density comes out at 17.3 Mg/m³.

It has space group Amm2 (No. 38), with a = 6.3618 Å, b = 8.9982 Å, c = 8.9989 Å, α = 90.00°, β = 90.00° and γ = 90.00°. Symmetry generates all atoms from Mo at (0.0000, 0.0000, 0.0000), Mo at (0.2500, 0.0000, 0.7500), W at (0.0000, 0.0000, 0.5002), W at (0.0000, 0.2503, 0.2501), W at (0.2499, 0.0000, 0.2499), W at (0.2499, 0.2499, 0.0000), W at (0.5000, 0.0000, 0.9998), W at (0.5000, 0.0000, 0.5003) and W at (0.5000, 0.2502, 0.2500).



8.
## Mo5W2 (PBE-GGA)

Data for crystalline Mo5W2 at its relaxed geometry.

The value obtained for the total magnetization is 0.0 μB/f.u. The calculation puts the formation energy from the elements at 0.2319 eV per atom. For the excess energy over the best structure of this formula in the dataset, the calculation gives 248 meV per atom. The density comes out at 12.4 Mg/m³.

It has space group C2/c (No. 15), with a = 13.9647 Å, b = 5.4198 Å, c = 6.0096 Å, α = 90.00°, β = 91.70° and γ = 90.00°. Symmetry generates all atoms from Mo at (0.0000, 0.1234, 0.2500), Mo at (0.1423, 0.1252, 0.9651), Mo at (0.2153, 0.3740, 0.3203) and W at (0.0720, 0.3763, 0.6069).



9.
## Mo2W (PBE-GGA)

Data for crystalline Mo2W at its relaxed geometry.

The value obtained for the total magnetization is 0.0 μB/f.u. The calculation puts the formation energy from the elements at 0.4446 eV per atom. For the excess energy over the best structure of this formula in the dataset, the calculation gives 464 meV per atom. The density comes out at 12.7 Mg/m³.

It has space group P6_3/mmc (No. 194), with a = 4.6819 Å, b = 4.6819 Å, c = 5.1577 Å, α = 90.00°, β = 90.00° and γ = 120.00°. Symmetry generates all atoms from Mo at (0.0000, 0.0000, 0.0000), Mo at (0.3333, 0.6667, 0.2500) and W at (0.3333, 0.6667, 0.7500).



10.
## MoW (PBE-GGA)

Data for crystalline MoW at its relaxed geometry.

The value obtained for the total magnetization is 0.0 μB/f.u. The calculation puts the formation energy from the elements at -0.0031 eV per atom. For the excess energy over the best structure of this formula in the dataset, the calculation gives 16 meV per atom. The density comes out at 14.5 Mg/m³.

It has space group Cmme (No. 67), with a = 3.1794 Å, b = 4.4834 Å, c = 8.9820 Å, α = 90.00°, β = 90.00° and γ = 90.00°. Symmetry generates all atoms from Mo at (0.0000, 0.2500, 0.1244) and W at (0.0000, 0.2500, 0.6257).